(1)
First-principles (PBE) data for crystalline SrOs2Br at its relaxed geometry, as listed in Alexandria via LeMat-Bulk.

abc: 3.2184 3.7919 8.3829
angles: 90.00 90.00 90.00
Last column: nearest neighbours and their distance in Å.
Element x y z (fractional)
Sr: 0.0000 0.0000 0.0000  1 Os 3.01, 4 Br 3.04, 2 Sr 3.22
Os: 0.0000 0.0000 0.6411  4 Os 2.53
Os: 0.5000 0.5000 0.6938  4 Os 2.53
Br: 0.5000 0.5000 0.2079  4 Sr 3.04, 2 Br 3.22

Values from the calculation:
As for the magnetization: 0.00 μB/f.u. The calculation puts the density of states at the Fermi level at 3.089 states/eV/cell. As for the formation energy (no corrections): 253 meV per atom.

(2)
First-principles (PBE) data for crystalline DyZn12Cu4 at its relaxed geometry, as listed in Alexandria via LeMat-Bulk.

abc: 7.3625 7.3625 7.3625
angles: 109.47 109.47 109.47
Last column: nearest neighbours and their distance in Å.
Element x y z (fractional)
Dy: 0.0000 0.0000 0.0000  12 Zn 3.27
Zn: 0.1572 0.5077 0.3505  2 Cu 2.42, 2 Zn 2.54-2.67
Zn: 0.1572 0.8066 0.6495  2 Cu 2.42, 2 Zn 2.54-2.67
Zn: 0.1934 0.3505 0.8428  2 Cu 2.42, 2 Zn 2.54-2.67
Zn: 0.3505 0.1572 0.5077  2 Cu 2.42, 2 Zn 2.54-2.67
Zn: 0.3505 0.8428 0.1934  2 Cu 2.42, 2 Zn 2.54-2.67
Zn: 0.4923 0.6495 0.8428  2 Cu 2.42, 2 Zn 2.54-2.67
Zn: 0.5077 0.3505 0.1572  2 Cu 2.42, 2 Zn 2.54-2.67
Zn: 0.6495 0.1572 0.8066  2 Cu 2.42, 2 Zn 2.54-2.67
Zn: 0.6495 0.8428 0.4923  2 Cu 2.42, 2 Zn 2.54-2.67
Zn: 0.8066 0.6495 0.1572  2 Cu 2.42, 2 Zn 2.54-2.67
Zn: 0.8428 0.1934 0.3505  2 Cu 2.42, 2 Zn 2.54-2.67
Zn: 0.8428 0.4923 0.6495  2 Cu 2.42, 2 Zn 2.54-2.67
Cu: 0.0000 0.0000 0.5000  6 Zn 2.42
Cu: 0.0000 0.5000 0.0000  6 Zn 2.42
Cu: 0.5000 0.0000 0.0000  6 Zn 2.42
Cu: 0.5000 0.5000 0.5000  6 Zn 2.42

Values from the calculation:
As for the magnetization: 0.00 μB/f.u. The calculation puts the density of states at the Fermi level at 6.447 states/eV/cell. For the energy of formation, the calculation gives 0.167 eV/atom.

(3)
First-principles (PBE) data for crystalline Cs2TlTe2Pd at its relaxed geometry, as listed in Alexandria via LeMat-Bulk.

abc: 9.7009 9.7009 9.7009
angles: 131.87 68.74 134.03
Last column: nearest neighbours and their distance in Å.
Element x y z (fractional)
Cs: 0.1656 0.2416 0.4072  5 Te 3.73-4.06, 2 Pd 3.78, 2 Tl 3.85
Cs: 0.3344 0.7416 0.0760  5 Te 3.73-4.06, 2 Pd 3.78, 2 Tl 3.85
Cs: 0.6656 0.2584 0.9240  5 Te 3.73-4.06, 2 Pd 3.78, 2 Tl 3.85
Cs: 0.8344 0.7584 0.5928  5 Te 3.73-4.06, 2 Pd 3.78, 2 Tl 3.85
Tl: 0.2500 0.7500 0.5000  4 Te 3.32
Tl: 0.7500 0.2500 0.5000  4 Te 3.32
Te: 0.0825 0.8007 0.8832  2 Pd 2.80
Te: 0.4175 0.3007 0.7181  2 Pd 2.80
Te: 0.5825 0.6993 0.2819  2 Pd 2.80
Te: 0.9175 0.1993 0.1168  2 Pd 2.80
Pd: 0.2500 0.2500 0.0000  4 Te 2.80
Pd: 0.7500 0.7500 0.0000  4 Te 2.80

Values from the calculation:
As for the magnetization: 0.00 μB/f.u. The calculation puts the density of states at the Fermi level at 10.182 states/eV/cell. As for the formation energy (no corrections): -560 meV per atom.

no.,ρ (kg/m³)
1,8895
2,6495
3,5757